[1]
{
  "formula": "Sm4Y4In",
  "functional": "GGA-PBE",
  "state": "optimized geometry",
  "cell": [[4.907, 0.000, 0.000], [2.454, 7.619, 0.000], [2.454, 0.000, 7.619]],
  "species": ["Y", "Y", "Y", "Y", "Sm", "Sm", "Sm", "Sm", "In"],
  "frac_coords": [[0.340, 0.320, 0.000], [0.660, 0.000, 0.680], [0.340, 0.000, 0.320], [0.660, 0.680, 0.000], [0.000, 0.665, 0.335], [0.000, 0.335, 0.665], [0.335, 0.665, 0.665], [0.665, 0.335, 0.335], [0.000, 0.000, 0.000]],
  "delta_e_f_kj_per_mol_atoms": -7.7,
  "spacegroup": "I4/mmm (139)",
  "magmom_total_mub_per_atom": 0.00,
  "dos_ef_per_ev_cell": 12.4
}

[2]
{
  "formula": "TmTh2ZrP4",
  "functional": "GGA-PBE",
  "state": "optimized geometry",
  "cell": [[3.996, 0.000, 0.000], [0.000, 6.936, 0.130], [0.000, -2.414, 6.443]],
  "species": ["Tm", "P", "P", "P", "P", "Zr", "Th", "Th"],
  "frac_coords": [[0.500, 0.500, 0.000], [0.000, 0.251, 0.767], [0.000, 0.749, 0.233], [0.500, 0.239, 0.230], [0.500, 0.761, 0.770], [0.000, 0.000, 0.000], [0.500, 0.000, 0.500], [0.000, 0.500, 0.500]],
  "delta_e_f_kj_per_mol_atoms": -144.3,
  "spacegroup": "P2/m (10)",
  "magmom_total_mub_per_atom": 0.00,
  "dos_ef_per_ev_cell": 2.7
}

[3]
{
  "formula": "GdSc3Co",
  "functional": "GGA-PBE",
  "state": "optimized geometry",
  "cell": [[-1.671, -3.744, 2.756], [4.503, -0.576, 1.949], [-1.156, 3.171, 3.607]],
  "species": ["Gd", "Sc", "Sc", "Sc", "Co"],
  "frac_coords": [[0.500, 0.500, 0.500], [0.000, 0.000, 0.500], [0.500, 0.000, 0.000], [0.000, 0.500, 0.000], [0.000, 0.000, 0.000]],
  "delta_e_f_kj_per_mol_atoms": -9.5,
  "spacegroup": "Pm-3m (221)",
  "magmom_total_mub_per_atom": 1.48,
  "dos_ef_per_ev_cell": 6.7
}

[4]
{
  "formula": "YTiCr3",
  "functional": "GGA-PBE",
  "state": "optimized geometry",
  "cell": [[4.588, 0.000, 0.000], [0.000, 4.588, 0.000], [0.000, 0.000, 4.588]],
  "species": ["Y", "Cr", "Cr", "Cr", "Ti"],
  "frac_coords": [[0.500, 0.500, 0.500], [0.000, 0.000, 0.500], [0.000, 0.500, 0.000], [0.500, 0.000, 0.000], [0.000, 0.000, 0.000]],
  "delta_e_f_kj_per_mol_atoms": 85.6,
  "spacegroup": "Pm-3m (221)",
  "magmom_total_mub_per_atom": 1.51,
  "dos_ef_per_ev_cell": 7.2,
  "polymorph_energy_ev_per_atom": 0.0000
}

[5]
{
  "formula": "Mo2Ru",
  "functional": "GGA-PBE",
  "state": "optimized geometry",
  "cell": [[6.769, -3.461, 9.894], [3.446, -5.355, 10.730], [-4.464, 2.844, -11.299]],
  "species": ["Mo", "Mo", "Mo", "Mo", "Ru", "Ru"],
  "frac_coords": [[0.423, 0.423, 0.000], [0.577, 0.577, 0.000], [0.327, 0.827, 0.500], [0.173, 0.673, 0.500], [0.750, 0.250, 0.500], [0.000, 0.000, 0.000]],
  "delta_e_f_kj_per_mol_atoms": 28.1,
  "spacegroup": "I4_1/amd (141)",
  "magmom_total_mub_per_atom": 0.00,
  "dos_ef_per_ev_cell": 4.8,
  "polymorph_energy_ev_per_atom": 0.2842
}

[6]
{
  "formula": "YEr2Hg4",
  "functional": "GGA-PBE",
  "state": "optimized geometry",
  "cell": [[5.614, 0.000, 0.000], [0.000, 5.614, 0.000], [-2.807, -2.807, 7.630]],
  "species": ["Hg", "Hg", "Hg", "Hg", "Y", "Er", "Er"],
  "frac_coords": [[0.201, 0.201, 0.402], [0.000, 0.500, 0.000], [0.799, 0.799, 0.598], [0.500, 0.000, 0.000], [0.000, 0.000, 0.000], [0.601, 0.601, 0.202], [0.399, 0.399, 0.798]],
  "delta_e_f_kj_per_mol_atoms": 6.2,
  "spacegroup": "I4/mmm (139)",
  "magmom_total_mub_per_atom": 0.00,
  "dos_ef_per_ev_cell": 6.6,
  "polymorph_energy_ev_per_atom": 0.4695
}

[7]
{
  "formula": "Rb4InAu4",
  "functional": "GGA-PBE",
  "state": "optimized geometry",
  "cell": [[7.104, 0.000, 0.000], [0.000, 9.880, 0.000], [0.000, 0.000, 9.880]],
  "species": ["Au", "Au", "Au", "Au", "Au", "Au", "Au", "Au", "Rb", "Rb", "Rb", "Rb", "Rb", "Rb", "Rb", "Rb", "In", "In"],
  "frac_coords": [[0.418, 0.535, 0.878], [0.418, 0.965, 0.622], [0.918, 0.378, 0.465], [0.082, 0.878, 0.965], [0.582, 0.035, 0.378], [0.918, 0.122, 0.035], [0.582, 0.465, 0.122], [0.082, 0.622, 0.535], [0.604, 0.677, 0.462], [0.396, 0.177, 0.962], [0.604, 0.823, 0.038], [0.896, 0.038, 0.677], [0.104, 0.962, 0.323], [0.396, 0.323, 0.538], [0.896, 0.462, 0.823], [0.104, 0.538, 0.177], [0.750, 0.250, 0.250], [0.250, 0.750, 0.750]],
  "delta_e_f_kj_per_mol_atoms": -24.9,
  "spacegroup": "P4_2/n (86)",
  "magmom_total_mub_per_atom": 0.00,
  "dos_ef_per_ev_cell": 8.6
}

[8]
{
  "formula": "TiMnTeN2",
  "functional": "GGA-PBE",
  "state": "optimized geometry",
  "cell": [[3.752, 0.000, 0.000], [0.000, 3.752, 0.000], [0.000, 0.000, 5.357]],
  "species": ["Ti", "N", "N", "Mn", "Te"],
  "frac_coords": [[0.500, 0.500, 0.500], [0.500, 0.000, 0.000], [0.000, 0.500, 0.000], [0.000, 0.000, 0.000], [0.000, 0.000, 0.500]],
  "spacegroup": "P4/mmm (123)",
  "magmom_total_mub_per_atom": 0.23,
  "dos_ef_per_ev_cell": 5.5,
  "formation_energy_uncorrected_ev_per_atom": 0.6022,
  "polymorph_energy_ev_per_atom": 0.2549
}

[9]
{
  "formula": "NaSnClF2",
  "functional": "GGA-PBE",
  "state": "optimized geometry",
  "cell": [[4.030, 0.000, 0.000], [0.000, 6.347, -0.069], [0.000, -1.449, 7.919]],
  "species": ["F", "F", "F", "F", "Cl", "Cl", "Na", "Na", "Sn", "Sn"],
  "frac_coords": [[0.750, 0.523, 0.392], [0.250, 0.494, 0.150], [0.750, 0.506, 0.850], [0.250, 0.477, 0.608], [0.750, 0.919, 0.187], [0.250, 0.081, 0.813], [0.750, 0.311, 0.080], [0.250, 0.689, 0.920], [0.250, 0.714, 0.384], [0.750, 0.286, 0.616]],
  "spacegroup": "P2_1/m (11)",
  "magmom_total_mub_per_atom": 0.00,
  "dos_ef_per_ev_cell": 0.0,
  "formation_energy_uncorrected_ev_per_atom": -2.1102
}

[10]
{
  "formula": "TcMoW3",
  "functional": "GGA-PBE",
  "state": "optimized geometry",
  "cell": [[4.643, 0.000, 0.000], [0.000, 4.643, 0.000], [0.000, 0.000, 4.643]],
  "species": ["W", "W", "W", "Mo", "Tc"],
  "frac_coords": [[0.000, 0.500, 0.000], [0.500, 0.000, 0.000], [0.000, 0.000, 0.500], [0.500, 0.500, 0.500], [0.000, 0.000, 0.000]],
  "delta_e_f_kj_per_mol_atoms": 199.3,
  "spacegroup": "Pm-3m (221)",
  "magmom_total_mub_per_atom": 0.00,
  "dos_ef_per_ev_cell": 6.8,
  "polymorph_energy_ev_per_atom": 2.0205
}

[11]
{
  "formula": "CoOs2Se",
  "functional": "GGA-PBE",
  "state": "optimized geometry",
  "cell": [[-0.212, -2.395, 1.479], [3.556, -0.486, -0.278], [0.776, 2.916, 4.834]],
  "species": ["Os", "Os", "Se", "Co"],
  "frac_coords": [[0.000, 0.000, 0.995], [0.500, 0.500, 0.209], [0.000, 0.000, 0.561], [0.500, 0.500, 0.736]],
  "spacegroup": "Pmm2 (25)",
  "magmom_total_mub_per_atom": 0.00,
  "dos_ef_per_ev_cell": 2.9,
  "formation_energy_uncorrected_ev_per_atom": 0.4578
}

[12]
{
  "formula": "AcBiSbPb",
  "functional": "GGA-PBE",
  "state": "optimized geometry",
  "cell": [[-0.463, 3.687, -2.791], [-1.599, -3.231, -4.003], [-4.902, 0.538, 1.524]],
  "species": ["Sb", "Bi", "Ac", "Pb"],
  "frac_coords": [[0.000, 0.000, 0.000], [0.000, 0.500, 0.500], [0.500, 0.000, 0.500], [0.500, 0.500, 0.000]],
  "spacegroup": "Pmmm (47)",
  "magmom_total_mub_per_atom": 0.00,
  "dos_ef_per_ev_cell": 2.9,
  "formation_energy_uncorrected_ev_per_atom": -0.5330,
  "polymorph_energy_ev_per_atom": 0.0000
}

[13]
{
  "formula": "Tb12TmIn3",
  "functional": "GGA-PBE",
  "state": "optimized geometry",
  "cell": [[-2.603, 4.012, 0.940], [-2.444, -0.608, -4.173], [-13.481, -10.972, 9.493]],
  "species": ["In", "In", "In", "Tb", "Tb", "Tb", "Tb", "Tb", "Tb", "Tb", "Tb", "Tb", "Tb", "Tb", "Tb", "Tm"],
  "frac_coords": [[0.000, 0.000, 0.500], [0.000, 0.000, 0.256], [0.000, 0.000, 0.744], [0.000, 0.500, 0.377], [0.000, 0.500, 0.130], [0.500, 0.000, 0.377], [0.500, 0.500, 0.254], [0.000, 0.500, 0.870], [0.000, 0.500, 0.623], [0.500, 0.000, 0.870], [0.500, 0.000, 0.623], [0.500, 0.500, 0.000], [0.500, 0.000, 0.130], [0.500, 0.500, 0.500], [0.500, 0.500, 0.746], [0.000, 0.000, 0.000]],
  "delta_e_f_kj_per_mol_atoms": -18.8,
  "spacegroup": "P4/mmm (123)",
  "magmom_total_mub_per_atom": 0.00,
  "dos_ef_per_ev_cell": 20.6
}

[14]
{
  "formula": "Sb2TeAuF",
  "functional": "GGA-PBE",
  "state": "optimized geometry",
  "cell": [[5.412, 0.000, 0.000], [0.000, 5.412, 0.000], [0.000, 0.000, 5.410]],
  "species": ["Au", "F", "Sb", "Sb", "Te"],
  "frac_coords": [[0.000, 0.000, 0.000], [0.500, 0.500, 0.500], [0.500, 0.000, 0.000], [0.000, 0.500, 0.000], [0.000, 0.000, 0.500]],
  "spacegroup": "P4/mmm (123)",
  "magmom_total_mub_per_atom": 0.00,
  "dos_ef_per_ev_cell": 7.1,
  "formation_energy_uncorrected_ev_per_atom": 0.3435,
  "polymorph_energy_ev_per_atom": 0.2331
}

[15]
{
  "formula": "Np3Tl4Te8Pt",
  "functional": "GGA-PBE",
  "state": "optimized geometry",
  "cell": [[-7.521, 2.532, -3.664], [2.608, -4.188, -8.247], [-0.090, -5.032, 7.134]],
  "species": ["Pt", "Tl", "Tl", "Tl", "Tl", "Te", "Te", "Te", "Te", "Te", "Te", "Te", "Te", "Np", "Np", "Np"],
  "frac_coords": [[0.000, 0.500, 0.000], [0.000, 0.000, 0.000], [0.500, 0.000, 0.000], [0.500, 0.000, 0.500], [0.000, 0.000, 0.500], [0.778, 0.298, 0.556], [0.222, 0.702, 0.444], [0.223, 0.702, 0.980], [0.261, 0.281, 0.521], [0.739, 0.719, 0.479], [0.243, 0.298, 0.020], [0.757, 0.702, 0.980], [0.777, 0.298, 0.020], [0.500, 0.500, 0.500], [0.500, 0.500, 0.000], [0.000, 0.500, 0.500]],
  "spacegroup": "C2/m (12)",
  "magmom_total_mub_per_atom": 0.69,
  "dos_ef_per_ev_cell": 31.9,
  "formation_energy_uncorrected_ev_per_atom": -0.4258
}

[16]
{
  "formula": "Mg2CdAs",
  "functional": "GGA-PBE",
  "state": "optimized geometry",
  "cell": [[-3.101, 3.145, 5.407], [-5.745, -1.227, 3.773], [6.082, -2.019, -2.769]],
  "species": ["As", "Mg", "Mg", "Cd"],
  "frac_coords": [[0.525, 0.525, 0.000], [0.696, 0.196, 0.500], [0.978, 0.978, 0.000], [0.302, 0.802, 0.500]],
  "delta_e_f_kj_per_mol_atoms": -18.4,
  "spacegroup": "Imm2 (44)",
  "magmom_total_mub_per_atom": 0.00,
  "dos_ef_per_ev_cell": 1.2,
  "polymorph_energy_ev_per_atom": 0.0402
}

[17]
{
  "formula": "BaSr2P",
  "functional": "GGA-PBE",
  "state": "optimized geometry",
  "cell": [[-2.012, 2.866, 7.090], [2.012, -2.866, 7.090], [2.012, 2.866, -7.090]],
  "species": ["Sr", "Sr", "Ba", "P"],
  "frac_coords": [[0.336, 0.336, 0.000], [0.664, 0.664, 0.000], [0.000, 0.500, 0.500], [0.500, 0.000, 0.500]],
  "delta_e_f_kj_per_mol_atoms": -53.0,
  "spacegroup": "Immm (71)",
  "magmom_total_mub_per_atom": 0.00,
  "dos_ef_per_ev_cell": 2.7
}

[18]
{
  "formula": "La2SeCl",
  "functional": "GGA-PBE",
  "state": "optimized geometry",
  "cell": [[-5.553, -3.736, -0.095], [1.259, -1.710, -6.347], [1.376, -8.013, -1.097]],
  "species": ["La", "La", "La", "La", "Se", "Se", "Cl", "Cl"],
  "frac_coords": [[0.875, 0.875, 0.750], [0.625, 0.125, 0.250], [0.125, 0.625, 0.250], [0.375, 0.375, 0.750], [0.750, 0.250, 0.500], [0.000, 0.000, 0.000], [0.250, 0.750, 0.500], [0.500, 0.500, 0.000]],
  "spacegroup": "I-42d (122)",
  "magmom_total_mub_per_atom": 0.01,
  "dos_ef_per_ev_cell": 14.6,
  "formation_energy_uncorrected_ev_per_atom": -1.3037,
  "polymorph_energy_ev_per_atom": 0.4734
}

[19]
{
  "formula": "SnP2SN",
  "functional": "GGA-PBE",
  "state": "optimized geometry",
  "cell": [[5.170, 0.000, 0.000], [0.000, 5.170, 0.000], [0.000, 0.000, 5.100]],
  "species": ["N", "S", "P", "P", "Sn"],
  "frac_coords": [[0.500, 0.500, 0.500], [0.000, 0.000, 0.500], [0.000, 0.500, 0.000], [0.500, 0.000, 0.000], [0.000, 0.000, 0.000]],
  "spacegroup": "P4/mmm (123)",
  "magmom_total_mub_per_atom": 0.88,
  "dos_ef_per_ev_cell": 3.7,
  "formation_energy_uncorrected_ev_per_atom": 2.0032,
  "polymorph_energy_ev_per_atom": 1.1387
}

[20]
{
  "formula": "CoTeIr",
  "functional": "GGA-PBE",
  "state": "optimized geometry",
  "cell": [[-2.749, 1.513, 0.117], [1.063, -1.116, -2.736], [-2.765, -5.102, 1.008]],
  "species": ["Ir", "Te", "Co"],
  "frac_coords": [[0.333, 0.667, 0.318], [0.667, 0.333, 0.677], [0.000, 0.000, 0.005]],
  "spacegroup": "P3m1 (156)",
  "magmom_total_mub_per_atom": 0.66,
  "dos_ef_per_ev_cell": 3.9,
  "formation_energy_uncorrected_ev_per_atom": 0.5612,
  "polymorph_energy_ev_per_atom": 0.2908
}